#w
This record from Alexandria via LeMat-Bulk describes a relaxed NdTm3Ni crystal. The functional is PBE.

Values from the calculation:
**Magnetization**: 0.00 μB per atom

Cell lengths 5.2610, 5.2610, 5.2610 Å; angles 90.00, 90.00, 90.00 degrees
Closest atoms and distances in Å follow each position.
Element x y z (fractional)
1 Ni 0.0000 0.0000 0.0000  6 Tm 2.63
2 Nd 0.5000 0.5000 0.5000  12 Tm 3.72
3 Tm 0.5000 0.0000 0.0000  2 Ni 2.63
4 Tm 0.0000 0.5000 0.0000  2 Ni 2.63
5 Tm 0.0000 0.0000 0.5000  2 Ni 2.63

#x
This record from Alexandria via LeMat-Bulk describes a relaxed NdTm3Ni crystal. The functional is PBE.

Values from the calculation:
**Magnetization**: 0.00 μB per atom

Cell lengths 7.2112, 7.9217, 9.8272 Å; angles 107.37, 90.00, 90.00 degrees
Closest atoms and distances in Å follow each position.
Element x y z (fractional)
1 Nd 0.9564 0.6805 0.2571  9 Tm 3.24-3.60, 2 Ni 3.30-3.54
2 Tm 0.1294 0.0813 0.3909  3 Ni 2.78-2.84
3 Ni 0.2551 0.9368 0.6036  6 Tm 2.73-2.84
4 Nd 0.4564 0.3195 0.2429  9 Tm 3.24-3.60, 2 Ni 3.30-3.54
5 Tm 0.2060 0.5728 0.5304  1 Ni 2.78
6 Tm 0.5097 0.2121 0.6169  2 Ni 2.73-2.82
7 Tm 0.2940 0.5728 0.0304  1 Ni 2.78
8 Tm 0.6294 0.9187 0.1091  3 Ni 2.78-2.84
9 Tm 0.7060 0.4272 0.9696  1 Ni 2.78
10 Nd 0.5436 0.6805 0.7571  9 Tm 3.24-3.60, 2 Ni 3.30-3.54
11 Tm 0.3706 0.0813 0.8909  3 Ni 2.78-2.84
12 Ni 0.7449 0.0632 0.3964  6 Tm 2.73-2.84
13 Tm 0.9903 0.2121 0.1169  2 Ni 2.73-2.82
14 Tm 0.7940 0.4272 0.4696  1 Ni 2.78
15 Tm 0.8706 0.9187 0.6091  3 Ni 2.78-2.84
16 Tm 0.4903 0.7879 0.3831  2 Ni 2.73-2.82
17 Ni 0.2449 0.9368 0.1036  6 Tm 2.73-2.84
18 Ni 0.7551 0.0632 0.8964  6 Tm 2.73-2.84
19 Nd 0.0436 0.3195 0.7429  9 Tm 3.24-3.60, 2 Ni 3.30-3.54
20 Tm 0.0097 0.7879 0.8831  2 Ni 2.73-2.82

Last place for stability: #w

#w
This record from Alexandria via LeMat-Bulk describes a relaxed Nd2YNi2 crystal. The functional is PBE.

Values from the calculation:
**Magnetization**: 0.00 μB per atom

Cell lengths 3.9286, 5.6921, 6.2034 Å; angles 107.56, 108.46, 90.00 degrees
Closest atoms and distances in Å follow each position.
Element x y z (fractional)
1 Nd 0.6544 0.6161 0.3088  4 Ni 2.78-2.93
2 Y 0.0000 0.0000 0.0000  4 Ni 2.87
3 Ni 0.6874 0.1280 0.3747  4 Nd 2.78-2.93, 2 Y 2.87, 2 Ni 3.09
4 Nd 0.3456 0.3839 0.6912  4 Ni 2.78-2.93
5 Ni 0.3126 0.8720 0.6253  4 Nd 2.78-2.93, 2 Y 2.87, 2 Ni 3.09

#x
This record from Alexandria via LeMat-Bulk describes a relaxed Nd2YNi2 crystal. The functional is PBE.

Values from the calculation:
**Magnetization**: 0.00 μB per atom

Cell lengths 3.8906, 4.3889, 7.4289 Å; angles 107.18, 90.00, 90.00 degrees
Closest atoms and distances in Å follow each position.
Element x y z (fractional)
1 Ni 0.0000 0.2019 0.4038  2 Ni 2.58, 1 Y 2.87, 2 Nd 2.89
2 Nd 0.5000 0.6478 0.2955  6 Ni 2.89-3.03
3 Y 0.0000 0.0000 0.0000  2 Ni 2.87
4 Nd 0.5000 0.3522 0.7045  6 Ni 2.89-3.03
5 Ni 0.0000 0.7981 0.5962  2 Ni 2.58, 1 Y 2.87, 2 Nd 2.89

Last place for stability: #w

#w
This record from Alexandria via LeMat-Bulk describes a relaxed NdYNi2 crystal. The functional is PBE.

Values from the calculation:
**Magnetization**: 0.00 μB per atom

Cell lengths 3.8182, 4.2597, 5.5360 Å; angles 90.00, 110.15, 90.00 degrees
Closest atoms and distances in Å follow each position.
Element x y z (fractional)
1 Ni 0.1516 0.5000 0.8421  2 Ni 2.59, 2 Y 2.87
2 Nd 0.7229 0.0000 0.9854  7 Ni 2.92-2.99
3 Ni 0.0105 0.0000 0.5600  2 Ni 2.59
4 Y 0.4459 0.5000 0.4305  7 Ni 2.87-3.06

#x
This record from Alexandria via LeMat-Bulk describes a relaxed NdYNi2 crystal. The functional is PBE.

Values from the calculation:
**Magnetization**: 0.00 μB per atom

Cell lengths 3.3897, 4.9034, 4.9034 Å; angles 90.00, 90.00, 90.00 degrees
Closest atoms and distances in Å follow each position.
Element x y z (fractional)
1 Y 0.5000 0.0000 0.0000  8 Ni 2.98
2 Nd 0.5000 0.5000 0.5000  8 Ni 2.98
3 Ni 0.0000 0.0000 0.5000  4 Nd 2.98, 4 Y 2.98
4 Ni 0.0000 0.5000 0.0000  4 Nd 2.98, 4 Y 2.98

Last place for stability: #x

#w
This record from Alexandria via LeMat-Bulk describes a relaxed NdYNi crystal. The functional is PBE.

Values from the calculation:
**Magnetization**: 0.00 μB per atom

Cell lengths 3.7610, 7.0098, 6.3941 Å; angles 104.32, 107.09, 74.42 degrees
Closest atoms and distances in Å follow each position.
Element x y z (fractional)
1 Nd 0.0761 0.5277 0.0758  3 Ni 2.84-3.07
2 Y 0.3230 0.9920 0.0335  4 Ni 2.83-2.97
3 Ni 0.7848 0.2780 0.2432  1 Ni 2.64, 2 Y 2.83, 2 Nd 2.84
4 Y 0.4928 0.2226 0.6040  4 Ni 2.83-2.97
5 Nd 0.7397 0.6869 0.5616  3 Ni 2.84-3.07
6 Ni 0.0308 0.9365 0.3941  1 Ni 2.64, 2 Y 2.83, 2 Nd 2.84

#x
This record from Alexandria via LeMat-Bulk describes a relaxed NdYNi crystal. The functional is PBE.

Values from the calculation:
**Magnetization**: 0.00 μB per atom

Cell lengths 3.4644, 7.0214, 6.7830 Å; angles 105.48, 104.83, 89.98 degrees
Closest atoms and distances in Å follow each position.
Element x y z (fractional)
1 Y 0.5698 0.1163 0.9060  4 Ni 2.86-2.87
2 Ni 0.9419 0.2782 0.6500  4 Y 2.86-2.87, 4 Nd 3.03-3.09, 1 Ni 3.16
3 Ni 0.9363 0.8257 0.6389  4 Y 2.86-2.87, 4 Nd 3.03-3.09, 1 Ni 3.16
4 Nd 0.3108 0.4882 0.3873  4 Ni 3.03-3.09, 1 Nd 3.24
5 Y 0.3079 0.9877 0.3828  4 Ni 2.86-2.87
6 Nd 0.5669 0.6157 0.9016  4 Ni 3.03-3.09, 1 Nd 3.24

#y
This record from Alexandria via LeMat-Bulk describes a relaxed NdYNi crystal. The functional is PBE.

Values from the calculation:
**Magnetization**: 0.00 μB per atom

Cell lengths 4.2813, 4.5500, 4.5500 Å; angles 120.00, 90.00, 90.00 degrees
Closest atoms and distances in Å follow each position.
Element x y z (fractional)
1 Y 0.2401 0.3333 0.6667  3 Ni 2.77
2 Ni 0.0326 0.0000 0.0000  3 Y 2.77, 3 Nd 2.93
3 Nd 0.7273 0.6667 0.3333  3 Ni 2.93

#z
This record from Alexandria via LeMat-Bulk describes a relaxed NdYNi crystal. The functional is PBE.

Values from the calculation:
**Magnetization**: 0.00 μB per atom

Cell lengths 4.8374, 4.8374, 4.8374 Å; angles 60.00, 60.00, 60.00 degrees
Closest atoms and distances in Å follow each position.
Element x y z (fractional)
1 Ni 0.2500 0.2500 0.2500  4 Y 2.96, 4 Nd 2.96
2 Nd 0.0000 0.0000 0.0000  4 Ni 2.96
3 Y 0.5000 0.5000 0.5000  4 Ni 2.96

Last place for stability: #y

#w
This record from Alexandria via LeMat-Bulk describes a relaxed NdZn4Ni crystal. The functional is PBE.

Values from the calculation:
**Magnetization**: 0.00 μB per atom

Cell lengths 4.4795, 4.4795, 6.7883 Å; angles 89.98, 90.05, 90.00 degrees
Closest atoms and distances in Å follow each position.
Element x y z (fractional)
1 Nd 0.5000 0.0000 0.0000  8 Zn 3.37
2 Ni 0.0000 0.5000 0.5000  6 Zn 2.23-2.24
3 Zn 0.9997 0.5000 0.8286  1 Ni 2.23, 1 Zn 2.33
4 Zn 0.0000 0.0000 0.5000  2 Ni 2.24
5 Zn 0.0003 0.5000 0.1714  1 Ni 2.23, 1 Zn 2.33
6 Zn 0.5000 0.5000 0.5000  2 Ni 2.24

#x
This record from Alexandria via LeMat-Bulk describes a relaxed NdZn4Ni crystal. The functional is PBE.

Values from the calculation:
**Magnetization**: 0.00 μB per atom

Cell lengths 4.7119, 6.6301, 7.2817 Å; angles 90.00, 108.88, 90.00 degrees
Closest atoms and distances in Å follow each position.
Element x y z (fractional)
1 Nd 0.6032 0.2500 0.2064  13 Zn 3.01-3.32
2 Zn 0.0000 0.5000 0.0000  2 Ni 2.40
3 Zn 0.2161 0.4413 0.4322  1 Ni 2.40, 4 Zn 2.54-2.65
4 Ni 0.1256 0.7500 0.2511  6 Zn 2.36-2.40
5 Zn 0.0000 0.0000 0.0000  2 Ni 2.40
6 Zn 0.7839 0.5587 0.5678  1 Ni 2.40, 4 Zn 2.54-2.65
7 Zn 0.7839 0.9413 0.5678  1 Ni 2.40, 4 Zn 2.54-2.65
8 Zn 0.6154 0.7500 0.2309  2 Ni 2.36
9 Zn 0.2161 0.0587 0.4322  1 Ni 2.40, 4 Zn 2.54-2.65
10 Nd 0.3968 0.7500 0.7936  13 Zn 3.01-3.32
11 Ni 0.8744 0.2500 0.7489  6 Zn 2.36-2.40
12 Zn 0.3846 0.2500 0.7691  2 Ni 2.36

#y
This record from Alexandria via LeMat-Bulk describes a relaxed NdZn4Ni crystal. The functional is PBE.

Values from the calculation:
**Magnetization**: 0.00 μB per atom

Cell lengths 5.2484, 5.2484, 5.2484 Å; angles 60.00, 60.00, 60.00 degrees
Closest atoms and distances in Å follow each position.
Element x y z (fractional)
1 Nd 0.2500 0.2500 0.2500  12 Zn 3.08, 4 Ni 3.21
2 Zn 0.6265 0.1206 0.6265  6 Zn 2.59-2.66
3 Zn 0.6265 0.6265 0.6265  6 Zn 2.59-2.66
4 Zn 0.1206 0.6265 0.6265  6 Zn 2.59-2.66
5 Zn 0.6265 0.6265 0.1206  6 Zn 2.59-2.66
6 Ni 0.0000 0.0000 0.0000  12 Zn 3.07, 4 Nd 3.21

Last place for stability: #w

#w
This record from Alexandria via LeMat-Bulk describes a relaxed NdZn2Ni4 crystal. The functional is PBE.

Values from the calculation:
**Magnetization**: 0.00 μB per atom

Cell lengths 5.0533, 5.1297, 5.1299 Å; angles 75.83, 60.55, 60.54 degrees
Closest atoms and distances in Å follow each position.
Element x y z (fractional)
1 Ni 0.3091 0.3823 0.9996  2 Ni 2.41-2.42, 4 Zn 2.61-2.62
2 Ni 0.6909 0.6177 0.0004  2 Ni 2.41-2.42, 4 Zn 2.61-2.62
3 Zn 0.2495 0.5003 0.5003  2 Zn 2.52-2.53, 8 Ni 2.61-2.62
4 Zn 0.7505 0.4997 0.4997  2 Zn 2.52-2.53, 8 Ni 2.61-2.62
5 Ni 0.6910 0.0004 0.6177  2 Ni 2.41-2.42, 4 Zn 2.61-2.62
6 Nd 0.0000 0.0000 0.0000  12 Ni 2.76-3.05
7 Ni 0.3090 0.9996 0.3823  2 Ni 2.41-2.42, 4 Zn 2.61-2.62

#x
This record from Alexandria via LeMat-Bulk describes a relaxed NdZn2Ni4 crystal. The functional is PBE.

Values from the calculation:
**Magnetization**: 0.00 μB per atom

Cell lengths 5.6194, 5.6194, 5.6194 Å; angles 102.64, 102.64, 124.22 degrees
Closest atoms and distances in Å follow each position.
Element x y z (fractional)
1 Zn 0.7500 0.2500 0.5000  4 Ni 2.34
2 Ni 0.7239 0.5000 0.2239  2 Ni 2.22, 2 Zn 2.34
3 Ni 0.5000 0.2761 0.7761  2 Ni 2.22, 2 Zn 2.34
4 Ni 0.2761 0.5000 0.7761  2 Ni 2.22, 2 Zn 2.34
5 Zn 0.2500 0.7500 0.5000  4 Ni 2.34
6 Ni 0.5000 0.7239 0.2239  2 Ni 2.22, 2 Zn 2.34
7 Nd 0.0000 0.0000 0.0000  8 Ni 3.06

Last place for stability: #x